1.
Al3Fe4Mo: relaxed, PBE.

Computed properties:
N(E_F): 6.661 states/eV/f.u.
Size of the total moment: 0.00 Bohr magnetons per cell
Calculated formation energy: -318 meV/atom
Uncorrected energy: -0.5371 Ry per atom

Cell lengths 4.086, 4.086, 5.785 Å; angles 90.00, 90.00, 90.00 degrees
Space group P4/mmm (No. 123)
Asymmetric unit:
Al  0.000  0.000  0.000 [1 per cell]
Al  0.000  0.000  0.500 [1 per cell]
Al  0.500  0.500  0.000 [1 per cell]
Fe  0.000  0.500  0.250 [4 per cell]
Mo  0.500  0.500  0.500 [1 per cell]

***

2.
Pu2CuTc: relaxed, PBE.

Computed properties:
N(E_F): 9.469 states/eV/f.u.
Size of the total moment: 9.66 Bohr magnetons per cell
Calculated formation energy: 95 meV/atom
Uncorrected energy: -0.7854 Ry per atom

Cell lengths 4.907, 4.907, 3.268 Å; angles 90.00, 90.00, 90.00 degrees
Space group P4/mmm (No. 123)
Asymmetric unit:
Pu  0.000  0.500  0.000 [2 per cell]
Cu  0.000  0.000  0.500 [1 per cell]
Tc  0.500  0.500  0.500 [1 per cell]

***

3.
TiMoRuPb2: relaxed, PBE.

Computed properties:
N(E_F): 6.999 states/eV/f.u.
Size of the total moment: 2.19 Bohr magnetons per cell
Calculated formation energy: 1289 meV/atom
Uncorrected energy: -0.4259 Ry per atom

Cell lengths 5.342, 5.342, 4.532 Å; angles 90.00, 90.00, 90.00 degrees
Space group P4/mmm (No. 123)
Asymmetric unit:
Ti  0.000  0.000  0.000 [1 per cell]
Mo  0.000  0.000  0.500 [1 per cell]
Ru  0.500  0.500  0.000 [1 per cell]
Pb  0.000  0.500  0.500 [2 per cell]

***

4.
Pm3NpBr2O6: relaxed, PBE.

Computed properties:
N(E_F): 6.645 states/eV/f.u.
Size of the total moment: 4.00 Bohr magnetons per cell
Uncorrected energy: -0.5647 Ry per atom

Cell lengths 12.406, 6.916, 5.797 Å; angles 90.00, 102.77, 90.00 degrees
Space group C2/m (No. 12)
Asymmetric unit:
Pm  0.000  0.000  0.000 [2 per cell]
Pm  0.250  0.250  0.500 [4 per cell]
Np  0.000  0.500  0.500 [2 per cell]
Br  0.211  0.000  0.869 [4 per cell]
O  0.062  0.254  0.299 [8 per cell]
O  0.168  0.500  0.653 [4 per cell]

***

uncorrected energy of number 4 (Pm3NpBr2O6)? -0.5647 Ry per atom

***

Number 2 is which compound? Pu2CuTc

***

Which of these has the lowest uncorrected energy? Pu2CuTc